Here is crystalline Ag2BTeO4 at its relaxed geometry from Alexandria via LeMat-Bulk. Energies are from GGA-PBE.

The calculation puts the formation energy without anion corrections at -0.8399 eV per atom. Its total energy is -0.1933 Ha/atom.

It has space group P1 (No. 1), with a = 4.578 Å, b = 5.145 Å, c = 5.497 Å, α = 115.44°, β = 102.88° and γ = 93.36°. The distinct sites, in fractional coordinates, are Ag at (0.000, 0.000, 0.000), Ag at (0.119, 0.768, 0.440), B at (0.416, 0.488, 0.966), Te at (0.785, 0.209, 0.510), O at (0.142, 0.531, 0.769), O at (0.317, 0.409, 0.158), O at (0.541, 0.224, 0.773) and O at (0.635, 0.759, 0.102).